A plane-wave DFT calculation with GGA+U was carried out for a relaxed structure of Na4Ni3GeO8.

Values from the calculation:
* space group: No. 12
* E_tot: -4.92 eV/atom
* magnetic moment: 0.2500 μB/atom

Cell lengths 5.9747, 5.9747, 6.3873 Å; angles 118.45, 118.45, 61.08 degrees
With the nearest neighbours (Å) after each atom.
Sites, in units of the cell vectors:
Na 0.0000 0.0000 0.0000  6 O 2.39-2.45
Na 0.0000 0.5000 0.0000  6 O 2.28-2.48
Na 0.5000 0.0000 0.0000  6 O 2.28-2.48
Na 0.5000 0.5000 0.0000  6 O 2.31-2.34
Ni 0.0000 0.0000 0.5000  6 O 2.05-2.11
Ni 0.0000 0.5000 0.5000  6 O 1.96-2.16
Ni 0.5000 0.0000 0.5000  6 O 1.96-2.16
Ge 0.5000 0.5000 0.5000  6 O 1.91-1.98
O 0.2380 0.2380 0.6833  3 Ni 1.96-2.05
O 0.2423 0.7142 0.6930  2 Ni 1.96-2.11, 1 Ge 1.98
O 0.2774 0.2774 0.2872  1 Ge 1.91
O 0.2858 0.7577 0.3070  2 Ni 1.96-2.11, 1 Ge 1.98
O 0.7142 0.2423 0.6930  2 Ni 1.96-2.11, 1 Ge 1.98
O 0.7226 0.7226 0.7128  1 Ge 1.91
O 0.7577 0.2858 0.3070  2 Ni 1.96-2.11, 1 Ge 1.98
O 0.7620 0.7620 0.3167  3 Ni 1.96-2.05